The following is a PBE+U calculation of an optimized crystal structure of SrMn2F6, from Alexandria via LeMat-Bulk.

a = 5.6297 Å, b = 5.6297 Å, c = 5.1915 Å
α = 90.00°, β = 90.00°, γ = 120.00°
Sites, in units of the cell vectors:
Sr (0.0000, 0.0000, 0.0000)
Mn (0.3333, 0.6667, 0.5000)
Mn (0.6667, 0.3333, 0.5000)
F (0.0000, 0.3549, 0.7204)
F (0.0000, 0.6451, 0.2796)
F (0.3549, 0.0000, 0.7204)
F (0.3549, 0.3549, 0.2796)
F (0.6451, 0.0000, 0.2796)
F (0.6451, 0.6451, 0.7204)

## Properties
* energy above the most stable polymorph in this dataset: 0 meV/atom
* density of states at the Fermi level: 0.0 states/eV/f.u.
* space-group type: No. 162